Entry 1:
{
  "formula": "HgMo4Se",
  "functional": "PBEsol",
  "state": "optimized geometry",
  "dft_energy_ev_per_atom": -7.94,
  "space_group": "No. 216",
  "cell": [[-2.206, -2.918, 3.775], [1.562, -4.965, 0.735], [2.763, -1.279, 4.286]],
  "species": ["Mo", "Mo", "Mo", "Mo", "Hg", "Se"],
  "frac_coords": [[0.374, 0.374, 0.877], [0.877, 0.374, 0.374], [0.374, 0.374, 0.374], [0.374, 0.877, 0.374], [0.000, 0.000, 0.000], [0.750, 0.750, 0.750]]
}

=====

Entry 2:
{
  "formula": "HgMo2Se",
  "functional": "PBEsol",
  "state": "optimized geometry",
  "e_above_lowest_polymorph_ev_per_fu": 0.000,
  "space_group": "No. 38",
  "cell": [[3.010, 0.000, 0.000], [0.000, 4.523, 0.000], [-1.505, 0.000, 5.156]],
  "species": ["Se", "Mo", "Mo", "Hg"],
  "frac_coords": [[0.210, 0.000, 0.419], [0.302, 0.500, 0.605], [0.902, 0.000, 0.804], [0.561, 0.500, 0.123]]
}

=====

no.,calculated volume (Å³/cell)
1,102.7
2,70.2